Material: PrNd4Tl4
Method: DFT, PBE
State: relaxed

Output
DFT formation energy   -0.2008 eV/atom
E_tot   -3.90 eV per atom
Density   9.08 g/cm3

a b c (Å): 6.3064 9.4343 9.4343
angles (deg): 90.00 90.00 90.00
Fractional positions:
Pr1 0.0000 0.0000 0.0000
Pr2 0.5000 0.5000 0.5000
Nd1 0.3745 0.4249 0.8327
Nd2 0.8745 0.6673 0.9249
Nd3 0.3745 0.5751 0.1673
Nd4 0.1255 0.0751 0.6673
Nd5 0.6255 0.8327 0.5751
Nd6 0.1255 0.9249 0.3327
Nd7 0.8745 0.3327 0.0751
Nd8 0.6255 0.1673 0.4249
Tl1 0.6113 0.8968 0.2089
Tl2 0.6113 0.1032 0.7911
Tl3 0.1113 0.7089 0.6032
Tl4 0.8887 0.3968 0.7089
Tl5 0.8887 0.6032 0.2911
Tl6 0.3887 0.2089 0.1032
Tl7 0.3887 0.7911 0.8968
Tl8 0.1113 0.2911 0.3968

---

Material: PrNd4Tl3
Method: DFT, PBE
State: relaxed

Output
DFT formation energy   -0.2809 eV/atom
E_tot   -4.15 eV per atom
Density   8.74 g/cm3
E above lowest polymorph   0 kJ/mol of formula units

a b c (Å): 3.8727 5.5743 22.8287
angles (deg): 148.66 94.87 90.00
Fractional positions:
Pr1 0.5000 0.0000 0.0000
Nd1 0.6234 0.3640 0.2468
Nd2 0.3766 0.6360 0.7532
Nd3 0.7342 0.6393 0.4683
Nd4 0.2658 0.3607 0.5317
Tl1 0.0000 0.5000 0.0000
Tl2 0.1194 0.8364 0.2389
Tl3 0.8806 0.1636 0.7611

---

Material: PrNd7Tl2
Method: DFT, PBE
State: relaxed

Output
DFT formation energy   0.3206 eV/atom
E_tot   -3.97 eV per atom
Density   6.25 g/cm3

a b c (Å): 5.5101 9.2804 9.2804
angles (deg): 119.14 90.00 90.00
Fractional positions:
Pr1 0.0000 0.0000 0.0000
Nd1 0.0000 0.7737 0.2263
Nd2 0.0000 0.2263 0.7737
Nd3 0.5000 0.0610 0.3022
Nd4 0.5000 0.9390 0.6978
Nd5 0.5000 0.3022 0.0610
Nd6 0.5000 0.6978 0.9390
Nd7 0.5000 0.5000 0.5000
Tl1 0.5000 0.6941 0.3059
Tl2 0.5000 0.3059 0.6941

---

Material: Pr7NdTl3
Method: DFT, PBE
State: relaxed

Output
DFT formation energy   -0.0338 eV/atom
E_tot   -4.15 eV per atom
Density   7.66 g/cm3

a b c (Å): 6.0417 8.5165 8.5165
angles (deg): 92.89 110.35 110.35
Fractional positions:
Pr1 0.1662 0.1677 0.1677
Pr2 0.3167 0.0305 0.6079
Pr3 0.6833 0.3921 0.9695
Pr4 0.3167 0.6079 0.0305
Pr5 0.0000 0.5000 0.5000
Pr6 0.6833 0.9695 0.3921
Pr7 0.8338 0.8323 0.8323
Nd1 0.5000 0.5000 0.5000
Tl1 0.0000 0.7627 0.2373
Tl2 0.5000 0.0000 0.0000
Tl3 0.0000 0.2373 0.7627

---

Material: PrNdTl2
Method: DFT, PBE
State: relaxed

Output
DFT formation energy   -0.2675 eV/atom
E_tot   -3.84 eV per atom
Density   8.83 g/cm3
E above lowest polymorph   49 kJ/mol of formula units

a b c (Å): 3.9213 3.9213 10.0605
angles (deg): 78.76 78.76 60.00
Fractional positions:
Pr1 0.5000 0.5000 0.5000
Tl1 0.7494 0.7494 0.7517
Tl2 0.2506 0.2506 0.2483
Nd1 0.0000 0.0000 0.0000

---

Material: Pr5Nd3Tl
Method: DFT, PBE
State: relaxed

Output
DFT formation energy   0.2597 eV/atom
E_tot   -4.25 eV per atom
Density   6.68 g/cm3

a b c (Å): 7.1315 7.1315 13.7429
angles (deg): 90.20 90.20 72.49
Fractional positions:
Pr1 0.0208 0.4726 0.3372
Pr2 0.3275 0.6725 0.0000
Pr3 0.7658 0.7658 0.1326
Pr4 0.4999 0.4999 0.2549
Pr5 0.5001 0.5001 0.7451
Pr6 0.2342 0.2342 0.8674
Pr7 0.4726 0.0208 0.3372
Pr8 0.6725 0.3275 0.0000
Pr9 0.9792 0.5274 0.6628
Pr10 0.5274 0.9792 0.6628
Nd1 0.7598 0.7598 0.8797
Nd2 0.6326 0.6326 0.4903
Nd3 0.0000 0.0000 0.0000
Nd4 0.0000 0.0000 0.5000
Nd5 0.2402 0.2402 0.1203
Nd6 0.3674 0.3674 0.5097
Tl1 0.9962 0.9962 0.7398
Tl2 0.0038 0.0038 0.2602

---

Material: Pr12NdTl7
Method: DFT, PBE
State: relaxed

Output
DFT formation energy   -0.0503 eV/atom
E_tot   -3.98 eV per atom
Density   7.71 g/cm3

a b c (Å): 9.1078 9.1078 9.1078
angles (deg): 101.44 101.44 101.44
Fractional positions:
Pr1 0.8209 0.2816 0.6817
Pr2 0.7184 0.3183 0.1791
Pr3 0.4403 0.1249 0.3782
Pr4 0.8751 0.6218 0.5597
Pr5 0.3183 0.1791 0.7184
Pr6 0.6218 0.5597 0.8751
Pr7 0.3782 0.4403 0.1249
Pr8 0.6817 0.8209 0.2816
Pr9 0.1249 0.3782 0.4403
Pr10 0.5597 0.8751 0.6218
Pr11 0.2816 0.6817 0.8209
Pr12 0.1791 0.7184 0.3183
Nd1 0.0000 0.0000 0.0000
Tl1 0.9819 0.6440 0.9548
Tl2 0.3560 0.0452 0.0181
Tl3 0.0452 0.0181 0.3560
Tl4 0.5000 0.5000 0.5000
Tl5 0.9548 0.9819 0.6440
Tl6 0.6440 0.9548 0.9819
Tl7 0.0181 0.3560 0.0452

---

Material: Pr4NdTl5
Method: DFT, PBE
State: relaxed

Output
DFT formation energy   -0.3945 eV/atom
E_tot   -3.97 eV per atom
Density   9.49 g/cm3

a b c (Å): 3.9209 3.9209 19.6973
angles (deg): 90.00 90.00 90.00
Fractional positions:
Pr1 0.0000 0.0000 0.1989
Pr2 0.0000 0.0000 0.3997
Pr3 0.0000 0.0000 0.6003
Pr4 0.0000 0.0000 0.8011
Nd1 0.0000 0.0000 0.0000
Tl1 0.5000 0.5000 0.0983
Tl2 0.5000 0.5000 0.2993
Tl3 0.5000 0.5000 0.5000
Tl4 0.5000 0.5000 0.7007
Tl5 0.5000 0.5000 0.9017

---

> Number 4 is which compound?

Pr7NdTl3